Computed, not measured: an optimized crystal structure of Sr2TlSbIr at the PBE level of DFT.

a b c (Å): 5.7406 5.7406 5.1985
angles (deg): 90.00 90.00 90.00
Fractional positions:
1 Sr 0.0000 0.5000 0.0000
2 Sr 0.5000 0.0000 0.0000
3 Tl 0.0000 0.0000 0.5000
4 Sb 0.5000 0.5000 0.5000
5 Ir 0.0000 0.0000 0.0000

Calculated values
* theoretical density: 6.72 Mg/m³
* crystal system: tetragonal
* E_form (uncorrected): -0.27 eV per atom
* Fermi-level density of states: 4.453 states/eV/f.u.